The following is a DFT calculation (GGA-PBE) of PuTi4Ni after structural relaxation.

a b c (Å): 9.646 5.709 7.665
angles (deg): 90.00 90.00 104.06
Site moments in Bohr magnetons follow the coordinates.
Atoms (fractional coordinates):
Ti (0.349, 0.551, 0.245)  -0.09
Ti (0.365, 0.299, 0.539)  -0.03
Ti (0.118, 0.441, 0.648)  -0.07
Ti (0.126, 0.943, 0.387)  -0.05
Ti (0.135, 0.201, 0.039)  -0.03
Pu (0.372, 0.812, 0.544)  4.94
Ni (0.913, 0.630, 0.663)  0.03
Ti (0.618, 0.941, 0.852)  -0.07
Ti (0.382, 0.059, 0.148)  -0.07
Ni (0.087, 0.370, 0.337)  0.03
Ti (0.651, 0.449, 0.755)  -0.09
Ti (0.374, 0.557, 0.887)  -0.05
Ti (0.874, 0.057, 0.613)  -0.05
Ti (0.882, 0.559, 0.352)  -0.07
Pu (0.128, 0.688, 0.044)  4.94
Ti (0.635, 0.701, 0.461)  -0.03
Pu (0.872, 0.312, 0.956)  4.94
Ti (0.849, 0.051, 0.255)  -0.09
Ni (0.413, 0.130, 0.837)  0.03
Pu (0.628, 0.188, 0.456)  4.94
Ti (0.151, 0.949, 0.745)  -0.09
Ni (0.587, 0.870, 0.163)  0.03
Ti (0.865, 0.799, 0.961)  -0.03
Ti (0.626, 0.443, 0.113)  -0.05

Values from the calculation:
calculated volume = 17.06 Å³ per atom
space group = P2_1/c, No. 14
M_tot = 4.8 μB/f.u.
crystal system = monoclinic
total DFT energy (no corrections) = -8.61 eV/atom

***

The following is a DFT calculation (GGA-PBE) of La4Nd4Ho after structural relaxation.

a b c (Å): 5.247 8.234 8.234
angles (deg): 84.17 71.42 71.42
Atoms (fractional coordinates):
Ho (0.000, 0.000, 0.000)
Nd (0.333, 0.667, 0.667)
Nd (0.667, 0.333, 0.333)
La (0.334, 0.000, 0.332)
Nd (0.000, 0.667, 0.333)
La (0.334, 0.332, 0.000)
Nd (0.000, 0.333, 0.667)
La (0.666, 0.668, 0.000)
La (0.666, 0.000, 0.668)

Values from the calculation:
calculated volume = 35.52 Å³ per atom
space group = I4/mmm, No. 139
M_tot = 0.0 μB/f.u.
crystal system = tetragonal
total DFT energy (no corrections) = -4.80 eV/atom

***

Q: What is the total DFT energy (no corrections) in the first record?
A: -8.61 eV/atom